# CuNi14Ge | Alexandria via LeMat-Bulk | GGA-PBE | optimized geometry
# final energy	-5.636	eV/atom
# energy of formation from the pure elements	-0.524	eV/f.u.
# V	11.09	Å³/atom
data_CuNi14Ge
_chemical_formula_sum 'Cu2 Ni28 Ge2'
_cell_length_a 8.186
_cell_length_b 5.027
_cell_length_c 8.625
_cell_angle_alpha 90.00
_cell_angle_beta 90.00
_cell_angle_gamma 90.00
_space_group_name_H-M_alt 'A m m 2'
_space_group_IT_number 38
loop_
_space_group_symop_operation_xyz
'x,y,z'
'-x,-y,z'
'-x,y,z'
'x,-y,z'
'x,y+1/2,z+1/2'
'-x,-y+1/2,z+1/2'
'-x,y+1/2,z+1/2'
'x,-y+1/2,z+1/2'
loop_
_atom_site_label
_atom_site_fract_x
_atom_site_fract_y
_atom_site_fract_z
Cu1 0.000 0.000 0.000
Ni1 0.000 0.249 0.750
Ni2 0.252 0.000 0.331
Ni3 0.252 0.250 0.082
Ni4 0.254 0.000 0.831
Ni5 0.500 0.000 0.164
Ni6 0.500 0.000 0.664
Ni7 0.500 0.249 0.415
Ge1 0.000 0.000 0.501